No. 1
VASP calculation (PBE) on a relaxed Ba2MgInAg6 crystal.

abc: 5.900 7.427 7.541
angles: 84.25 67.33 66.76
Atoms (fractional coordinates):
Ba: 0.049 0.207 0.194
Ba: 0.951 0.793 0.806
Mg: 0.500 0.000 0.500
In: 0.500 0.500 0.000
Ag: 0.005 0.268 0.723
Ag: 0.343 0.404 0.408
Ag: 0.499 0.730 0.276
Ag: 0.501 0.270 0.724
Ag: 0.657 0.596 0.592
Ag: 0.995 0.732 0.277

- M_tot: 0.00 μB per formula unit
- Volume: 279.66 Å³/cell
- Energy relative to the elements: -168.3 meV/atom



No. 2
VASP calculation (PBE) on a relaxed Ba3MgIn2Ag6 crystal.

abc: 6.706 6.706 9.169
angles: 90.00 90.00 120.00
Atoms (fractional coordinates):
Ba: 0.000 0.000 0.000
Ba: 0.333 0.667 0.635
Ba: 0.667 0.333 0.365
Mg: 0.000 0.000 0.500
In: 0.333 0.667 0.035
In: 0.667 0.333 0.965
Ag: 0.186 0.371 0.296
Ag: 0.186 0.814 0.296
Ag: 0.371 0.186 0.704
Ag: 0.629 0.814 0.296
Ag: 0.814 0.186 0.704
Ag: 0.814 0.629 0.704

- M_tot: 0.00 μB per formula unit
- Volume: 357.06 Å³/cell
- Energy relative to the elements: -155.2 meV/atom



No. 3
VASP calculation (PBE) on a relaxed BaMgIn2Ag4 crystal.

abc: 10.076 10.076 10.076
angles: 27.59 27.59 27.59
Atoms (fractional coordinates):
Ba: 0.000 0.000 0.000
Mg: 0.500 0.500 0.500
In: 0.240 0.240 0.240
In: 0.760 0.760 0.760
Ag: 0.137 0.137 0.137
Ag: 0.406 0.406 0.406
Ag: 0.594 0.594 0.594
Ag: 0.863 0.863 0.863

- M_tot: 0.00 μB per formula unit
- Volume: 193.75 Å³/cell
- Energy relative to the elements: -190.3 meV/atom



No. 4
VASP calculation (PBE) on a relaxed BaMgInAg2 crystal.

abc: 7.184 7.184 7.184
angles: 142.55 142.55 54.01
Atoms (fractional coordinates):
Ba: 0.000 0.000 0.000
Mg: 0.250 0.750 0.500
In: 0.750 0.250 0.500
Ag: 0.387 0.387 0.000
Ag: 0.613 0.613 0.000

- M_tot: 0.00 μB per formula unit
- Volume: 136.21 Å³/cell
- Energy relative to the elements: -270.4 meV/atom



No. 5
VASP calculation (PBE) on a relaxed Ba8InAg2N crystal.

abc: 7.639 7.793 9.725
angles: 89.98 89.88 88.54
Atoms (fractional coordinates):
Ba: 0.208 0.332 0.205
Ba: 0.209 0.333 0.795
Ba: 0.236 0.777 0.001
Ba: 0.275 0.841 0.500
Ba: 0.725 0.159 0.500
Ba: 0.764 0.223 0.999
Ba: 0.791 0.667 0.205
Ba: 0.792 0.668 0.795
In: 0.000 0.500 0.500
Ag: 0.500 0.000 0.225
Ag: 0.500 0.000 0.775
N: 0.000 0.500 0.000

- M_tot: 0.01 μB per formula unit
- ΔE_f (raw): -0.1747 eV per atom
- Volume: 578.76 Å³/cell



No. 6
VASP calculation (PBE) on a relaxed Ba2NaIn3Ag4 crystal.

abc: 4.849 4.849 12.023
angles: 90.00 90.00 90.00
Atoms (fractional coordinates):
Ba: 0.000 0.500 0.239
Ba: 0.500 0.000 0.761
Na: 0.000 0.000 0.500
In: 0.000 0.500 0.877
In: 0.500 0.000 0.123
In: 0.500 0.500 0.500
Ag: 0.000 0.000 0.000
Ag: 0.000 0.500 0.641
Ag: 0.500 0.000 0.359
Ag: 0.500 0.500 0.000

- M_tot: 0.00 μB per formula unit
- Volume: 282.73 Å³/cell
- Energy relative to the elements: -253.3 meV/atom



No. 7
VASP calculation (PBE) on a relaxed Ba2NaInAg6 crystal.

abc: 7.544 7.544 7.544
angles: 60.00 60.00 60.00
Atoms (fractional coordinates):
Ba: 0.250 0.250 0.250
Ba: 0.750 0.750 0.750
Na: 0.000 0.000 0.000
In: 0.500 0.500 0.500
Ag: 0.248 0.248 0.752
Ag: 0.248 0.752 0.248
Ag: 0.248 0.752 0.752
Ag: 0.752 0.248 0.248
Ag: 0.752 0.248 0.752
Ag: 0.752 0.752 0.248

- M_tot: 0.00 μB per formula unit
- Volume: 303.59 Å³/cell
- Energy relative to the elements: 94.7 meV/atom



No. 8
VASP calculation (PBE) on a relaxed BaNaIn2Ag crystal.

abc: 5.405 5.405 5.508
angles: 90.00 90.00 90.00
Atoms (fractional coordinates):
Ba: 0.000 0.000 0.000
Na: 0.500 0.500 0.000
In: 0.000 0.500 0.500
In: 0.500 0.000 0.500
Ag: 0.500 0.500 0.500

- M_tot: 0.00 μB per formula unit
- Volume: 160.90 Å³/cell
- Energy relative to the elements: -113.6 meV/atom



No. 9
VASP calculation (PBE) on a relaxed BaNaIn2Ag4 crystal.

abc: 10.061 10.061 10.061
angles: 28.03 28.03 28.03
Atoms (fractional coordinates):
Ba: 0.000 0.000 0.000
Na: 0.500 0.500 0.500
In: 0.237 0.237 0.237
In: 0.763 0.763 0.763
Ag: 0.129 0.129 0.129
Ag: 0.404 0.404 0.404
Ag: 0.596 0.596 0.596
Ag: 0.871 0.871 0.871

- M_tot: 0.00 μB per formula unit
- Volume: 198.63 Å³/cell
- Energy relative to the elements: -142.0 meV/atom



No. 10
VASP calculation (PBE) on a relaxed Ba2NaInAg crystal.

abc: 6.513 6.513 5.280
angles: 90.00 90.00 90.00
Atoms (fractional coordinates):
Ba: 0.000 0.500 0.000
Ba: 0.500 0.000 0.000
Na: 0.000 0.000 0.500
In: 0.500 0.500 0.500
Ag: 0.500 0.500 0.000

- M_tot: 0.00 μB per formula unit
- Volume: 223.99 Å³/cell
- Energy relative to the elements: -90.9 meV/atom



No. 11
VASP calculation (PBE) on a relaxed BaNdInAg crystal.

abc: 5.666 5.666 5.666
angles: 60.00 60.00 60.00
Atoms (fractional coordinates):
Ba: 0.000 0.000 0.000
Nd: 0.500 0.500 0.500
In: 0.250 0.250 0.250
Ag: 0.750 0.750 0.750

- M_tot: 0.00 μB per formula unit
- Volume: 128.60 Å³/cell
- Energy relative to the elements: -239.6 meV/atom



No. 12
VASP calculation (PBE) on a relaxed Ba2InNiAg crystal.

abc: 5.946 5.946 4.954
angles: 90.00 90.00 90.00
Atoms (fractional coordinates):
Ba: 0.000 0.500 0.000
Ba: 0.500 0.000 0.000
In: 0.000 0.000 0.500
Ni: 0.000 0.000 0.000
Ag: 0.500 0.500 0.500

- M_tot: 0.00 μB per formula unit
- Volume: 175.15 Å³/cell
- Energy relative to the elements: -125.4 meV/atom



Please write out number 11 again, unchanged.
VASP calculation (PBE) on a relaxed BaNdInAg crystal.

abc: 5.666 5.666 5.666
angles: 60.00 60.00 60.00
Atoms (fractional coordinates):
Ba: 0.000 0.000 0.000
Nd: 0.500 0.500 0.500
In: 0.250 0.250 0.250
Ag: 0.750 0.750 0.750

- M_tot: 0.00 μB per formula unit
- Volume: 128.60 Å³/cell
- Energy relative to the elements: -239.6 meV/atom



- Which of these has the lowest volume?
  BaNdInAg